# Rb2Tl3Cd4In PBE optimized geometry
data_Rb2Tl3Cd4In
_cell_length_a 5.0662
_cell_length_b 5.0662
_cell_length_c 12.8279
_cell_angle_alpha 90.00
_cell_angle_beta 90.00
_cell_angle_gamma 90.00
_space_group_name_H-M_alt 'P -4 m 2'
_space_group_IT_number 115
loop_
_space_group_symop_operation_xyz
'x,y,z'
'y,-x,-z'
'-x,-y,z'
'-y,x,-z'
'-x,y,z'
'-y,-x,-z'
'x,-y,z'
'y,x,-z'
loop_
_atom_site_label
_atom_site_fract_x
_atom_site_fract_y
_atom_site_fract_z
Rb1 0.0000 0.5000 0.2494
Tl1 0.0000 0.5000 0.8674
Tl2 0.5000 0.5000 0.5000
Cd1 0.0000 0.0000 0.0000
Cd2 0.0000 0.5000 0.6329
Cd3 0.5000 0.5000 0.0000
In1 0.0000 0.0000 0.5000
# energy of formation: -4 kJ per mole of atoms
# M_tot: 0.000 μB/f.u.
# calculated total energy: -15.865 eV/cell